Record 1
The following is a PBE-GGA calculation of crystalline PmReSi2Os at its relaxed geometry, from Alexandria.

a b c (Å): 4.1660 4.1660 5.8489
angles (deg): 110.86 110.86 90.00
Last column: nearest neighbours and their distance in Å.
Fractional positions:
Pm (0.0000, 0.0000, 0.0000)  8 Si 3.21, 4 Re 3.27, 4 Os 3.27
Re (0.2500, 0.7500, 0.5000)  4 Si 2.43
Si (0.6261, 0.6261, 0.2521)  2 Re 2.43, 2 Os 2.43, 1 Si 2.55
Si (0.3739, 0.3739, 0.7479)  2 Re 2.43, 2 Os 2.43, 1 Si 2.55
Os (0.7500, 0.2500, 0.5000)  4 Si 2.43

Values from the calculation:
The uncorrected formation energy comes out at -0.5587 eV per atom. As for the total energy: -8.414 eV/atom. As for the space-group type: I-4m2.

Record 2
The following is a PBE-GGA calculation of crystalline Pm6Os2Rh at its relaxed geometry, from Alexandria.

a b c (Å): 6.8041 7.5385 9.7271
angles (deg): 90.00 88.91 90.00
Last column: nearest neighbours and their distance in Å.
Fractional positions:
Pm (0.8373, 0.9460, 0.2417)  1 Rh 2.79, 2 Os 2.85
Pm (0.8267, 0.6720, 0.5688)  1 Rh 2.81, 2 Os 2.89-3.13
Pm (0.8427, 0.6712, 0.9278)  1 Rh 2.74, 1 Os 2.94
Pm (0.6573, 0.1712, 0.5722)  1 Rh 2.74, 1 Os 2.94
Pm (0.6733, 0.1720, 0.9312)  1 Rh 2.81, 2 Os 2.89-3.13
Pm (0.6627, 0.4460, 0.2583)  1 Rh 2.79, 2 Os 2.85
Pm (0.1627, 0.0540, 0.7583)  1 Rh 2.79, 2 Os 2.85
Pm (0.1733, 0.3280, 0.4312)  1 Rh 2.81, 2 Os 2.89-3.13
Pm (0.1573, 0.3288, 0.0722)  1 Rh 2.74, 1 Os 2.94
Pm (0.3427, 0.8288, 0.4278)  1 Rh 2.74, 1 Os 2.94
Pm (0.3267, 0.8280, 0.0688)  1 Rh 2.81, 2 Os 2.89-3.13
Pm (0.3373, 0.5540, 0.7417)  1 Rh 2.79, 2 Os 2.85
Os (0.9635, 0.3850, 0.7394)  6 Pm 2.85-3.13
Os (0.5365, 0.8850, 0.7606)  6 Pm 2.85-3.13
Os (0.4635, 0.1150, 0.2394)  6 Pm 2.85-3.13
Os (0.0365, 0.6150, 0.2606)  6 Pm 2.85-3.13
Rh (0.5000, 0.5000, 0.0000)  6 Pm 2.74-2.81
Rh (0.0000, 0.0000, 0.5000)  6 Pm 2.74-2.81

Values from the calculation:
As for the total energy: -6.674 eV/atom. The value obtained for the energy of formation is -4.50 kcal/mol of atoms. As for the space-group type: P2_1/c.

Record 3
The following is a PBE-GGA calculation of crystalline Pm12OsRh6 at its relaxed geometry, from Alexandria.

a b c (Å): 8.3209 8.3209 8.3209
angles (deg): 99.50 99.50 99.50
Last column: nearest neighbours and their distance in Å.
Fractional positions:
Pm (0.8232, 0.5845, 0.4193)  4 Rh 2.79-3.03
Pm (0.4193, 0.8232, 0.5845)  4 Rh 2.79-3.03
Pm (0.5845, 0.4193, 0.8232)  4 Rh 2.79-3.03
Pm (0.1768, 0.4155, 0.5807)  4 Rh 2.79-3.03
Pm (0.5807, 0.1768, 0.4155)  4 Rh 2.79-3.03
Pm (0.4155, 0.5807, 0.1768)  4 Rh 2.79-3.03
Pm (0.0827, 0.9550, 0.3227)  1 Os 2.76, 2 Rh 2.88-2.90
Pm (0.0450, 0.6773, 0.9173)  1 Os 2.76, 2 Rh 2.88-2.90
Pm (0.6773, 0.9173, 0.0450)  1 Os 2.76, 2 Rh 2.88-2.90
Pm (0.9173, 0.0450, 0.6773)  1 Os 2.76, 2 Rh 2.88-2.90
Pm (0.9550, 0.3227, 0.0827)  1 Os 2.76, 2 Rh 2.88-2.90
Pm (0.3227, 0.0827, 0.9550)  1 Os 2.76, 2 Rh 2.88-2.90
Os (0.0000, 0.0000, 0.0000)  6 Pm 2.76
Rh (0.6860, 0.8640, 0.3817)  6 Pm 2.79-3.03
Rh (0.6183, 0.3140, 0.1360)  6 Pm 2.79-3.03
Rh (0.1360, 0.6183, 0.3140)  6 Pm 2.79-3.03
Rh (0.3140, 0.1360, 0.6183)  6 Pm 2.79-3.03
Rh (0.3817, 0.6860, 0.8640)  6 Pm 2.79-3.03
Rh (0.8640, 0.3817, 0.6860)  6 Pm 2.79-3.03

Values from the calculation:
As for the total energy: -6.379 eV/atom. The value obtained for the energy of formation is -10.76 kcal/mol of atoms. As for the space-group type: R-3.

Record 4
The following is a PBE-GGA calculation of crystalline Pm3OsRh at its relaxed geometry, from Alexandria.

a b c (Å): 6.3768 9.9784 8.7309
angles (deg): 115.42 90.00 90.00
Last column: nearest neighbours and their distance in Å.
Fractional positions:
Pm (0.0023, 0.6957, 0.8651)  1 Os 2.92, 4 Rh 3.07-3.26
Pm (0.9977, 0.3043, 0.1349)  1 Os 2.92, 4 Rh 3.07-3.26
Pm (0.5023, 0.8043, 0.1349)  1 Os 2.92, 4 Rh 3.07-3.26
Pm (0.4977, 0.1957, 0.8651)  1 Os 2.92, 4 Rh 3.07-3.26
Pm (0.5098, 0.4684, 0.7115)  2 Os 2.89-2.92, 2 Rh 2.90-2.94
Pm (0.4902, 0.5316, 0.2885)  2 Os 2.89-2.92, 2 Rh 2.90-2.94
Pm (0.0098, 0.0316, 0.2885)  2 Os 2.89-2.92, 2 Rh 2.90-2.94
Pm (0.9902, 0.9684, 0.7115)  2 Os 2.89-2.92, 2 Rh 2.90-2.94
Pm (0.9998, 0.3072, 0.6777)  2 Os 2.95-3.11, 2 Rh 3.01-3.09
Pm (0.0002, 0.6928, 0.3223)  2 Os 2.95-3.11, 2 Rh 3.01-3.09
Pm (0.4998, 0.1928, 0.3223)  2 Os 2.95-3.11, 2 Rh 3.01-3.09
Pm (0.5002, 0.8072, 0.6777)  2 Os 2.95-3.11, 2 Rh 3.01-3.09
Os (0.8221, 0.5484, 0.5260)  1 Os 2.43
Os (0.1779, 0.4516, 0.4740)  1 Os 2.43
Os (0.3221, 0.9516, 0.4740)  1 Os 2.43
Os (0.6779, 0.0484, 0.5260)  1 Os 2.43
Rh (0.2390, 0.4939, 0.9958)  7 Pm 2.90-3.16, 1 Rh 3.05
Rh (0.7610, 0.5061, 0.0042)  7 Pm 2.90-3.16, 1 Rh 3.05
Rh (0.7390, 0.0061, 0.0042)  7 Pm 2.90-3.16, 1 Rh 3.05
Rh (0.2610, 0.9939, 0.9958)  7 Pm 2.90-3.16, 1 Rh 3.05

Values from the calculation:
As for the total energy: -6.878 eV/atom. The value obtained for the energy of formation is -7.19 kcal/mol of atoms. As for the space-group type: P2_1/c.

Record 5
The following is a PBE-GGA calculation of crystalline PmSi2OsRh at its relaxed geometry, from Alexandria.

a b c (Å): 4.1644 4.1644 5.7694
angles (deg): 111.16 111.16 90.00
Last column: nearest neighbours and their distance in Å.
Fractional positions:
Pm (0.0000, 0.0000, 0.0000)  8 Si 3.21, 4 Os 3.24, 4 Rh 3.24
Si (0.6287, 0.6287, 0.2573)  2 Os 2.41, 2 Rh 2.41, 1 Si 2.55
Si (0.3713, 0.3713, 0.7427)  2 Os 2.41, 2 Rh 2.41, 1 Si 2.55
Os (0.7500, 0.2500, 0.5000)  4 Si 2.41
Rh (0.2500, 0.7500, 0.5000)  4 Si 2.41

Values from the calculation:
The uncorrected formation energy comes out at -0.9271 eV per atom. As for the total energy: -7.763 eV/atom. As for the space-group type: I-4m2.

Record 6
The following is a PBE-GGA calculation of crystalline PmThOsRh at its relaxed geometry, from Alexandria.

a b c (Å): 5.0054 5.0054 5.0054
angles (deg): 60.00 60.00 60.00
Last column: nearest neighbours and their distance in Å.
Fractional positions:
Rh (0.7500, 0.7500, 0.7500)  4 Pm 3.07, 4 Th 3.07
Os (0.2500, 0.2500, 0.2500)  4 Pm 3.07, 4 Th 3.07
Th (0.5000, 0.5000, 0.5000)  4 Rh 3.07, 4 Os 3.07
Pm (0.0000, 0.0000, 0.0000)  4 Os 3.07, 4 Rh 3.07

Values from the calculation:
As for the total energy: -8.104 eV/atom. The value obtained for the energy of formation is -9.60 kcal/mol of atoms. As for the space-group type: F-43m.

Record 7
The following is a PBE-GGA calculation of crystalline PmUOsRh at its relaxed geometry, from Alexandria.

a b c (Å): 4.8799 4.8799 4.8799
angles (deg): 60.00 60.00 60.00
Last column: nearest neighbours and their distance in Å.
Fractional positions:
Os (0.5000, 0.5000, 0.5000)  4 Pm 2.99, 4 U 2.99
U (0.7500, 0.7500, 0.7500)  4 Os 2.99, 4 Rh 2.99
Rh (0.0000, 0.0000, 0.0000)  4 U 2.99, 4 Pm 2.99
Pm (0.2500, 0.2500, 0.2500)  4 Rh 2.99, 4 Os 2.99

Values from the calculation:
As for the total energy: -8.831 eV/atom. The value obtained for the energy of formation is -4.05 kcal/mol of atoms. As for the space-group type: F-43m.

Record 8
The following is a PBE-GGA calculation of crystalline PmYOsRh at its relaxed geometry, from Alexandria.

a b c (Å): 4.9040 4.9040 4.9040
angles (deg): 60.00 60.00 60.00
Last column: nearest neighbours and their distance in Å.
Fractional positions:
Y (0.5000, 0.5000, 0.5000)  4 Os 3.00, 4 Rh 3.00
Rh (0.7500, 0.7500, 0.7500)  4 Pm 3.00, 4 Y 3.00
Os (0.2500, 0.2500, 0.2500)  4 Pm 3.00, 4 Y 3.00
Pm (0.0000, 0.0000, 0.0000)  4 Rh 3.00, 4 Os 3.00

Values from the calculation:
As for the total energy: -7.788 eV/atom. The value obtained for the energy of formation is -7.81 kcal/mol of atoms. As for the space-group type: F-43m.

Record 9
The following is a PBE-GGA calculation of crystalline PmZrOsRh at its relaxed geometry, from Alexandria.

a b c (Å): 4.8025 4.8025 4.8025
angles (deg): 60.00 60.00 60.00
Last column: nearest neighbours and their distance in Å.
Fractional positions:
Rh (0.7500, 0.7500, 0.7500)  4 Pm 2.94, 4 Zr 2.94
Os (0.2500, 0.2500, 0.2500)  4 Pm 2.94, 4 Zr 2.94
Zr (0.5000, 0.5000, 0.5000)  4 Os 2.94, 4 Rh 2.94
Pm (0.0000, 0.0000, 0.0000)  4 Rh 2.94, 4 Os 2.94

Values from the calculation:
As for the total energy: -8.377 eV/atom. The value obtained for the energy of formation is -9.38 kcal/mol of atoms. As for the space-group type: F-43m.

Record 10
The following is a PBE-GGA calculation of crystalline Pm8Os2Ru at its relaxed geometry, from Alexandria.

a b c (Å): 4.7752 7.1969 9.3252
angles (deg): 104.80 104.84 90.00
Last column: nearest neighbours and their distance in Å.
Fractional positions:
Pm (0.4009, 0.5227, 0.8018)  2 Os 3.08, 2 Pm 3.42-3.44, 1 Ru 3.43
Pm (0.6677, 0.9685, 0.3353)  3 Os 3.03-3.13, 1 Ru 3.09, 2 Pm 3.39
Pm (0.7945, 0.6841, 0.5889)  3 Os 2.90-3.11
Pm (0.9750, 0.2108, 0.9500)  2 Ru 2.93, 1 Os 3.13
Pm (0.2055, 0.3159, 0.4111)  3 Os 2.90-3.11
Pm (0.3323, 0.0315, 0.6647)  3 Os 3.03-3.13, 1 Ru 3.09, 2 Pm 3.39
Pm (0.5991, 0.4773, 0.1982)  2 Os 3.08, 2 Pm 3.42-3.44, 1 Ru 3.43
Pm (0.0250, 0.7892, 0.0500)  2 Ru 2.93, 1 Os 3.13
Os (0.8136, 0.2961, 0.6272)  9 Pm 2.90-3.13
Os (0.1864, 0.7039, 0.3728)  9 Pm 2.90-3.13
Ru (0.5000, 0.0000, 0.0000)  6 Pm 2.93-3.09

Values from the calculation:
As for the total energy: -6.436 eV/atom. The value obtained for the energy of formation is -2.21 kcal/mol of atoms. As for the space-group type: C2/m.

Record 11
The following is a PBE-GGA calculation of crystalline PmOsRu2 at its relaxed geometry, from Alexandria.

a b c (Å): 7.9268 9.1820 6.9332
angles (deg): 90.00 90.00 42.04
Last column: nearest neighbours and their distance in Å.
Fractional positions:
Pm (0.0000, 0.2500, 0.7196)  4 Ru 3.01-3.13, 2 Os 3.17
Pm (0.5000, 0.7500, 0.2137)  3 Os 2.96-3.13, 8 Ru 2.99-3.11
Pm (0.0000, 0.7500, 0.2804)  4 Ru 3.01-3.13, 2 Os 3.17
Pm (0.5000, 0.2500, 0.7863)  3 Os 2.96-3.13, 8 Ru 2.99-3.11
Os (0.5000, 0.7500, 0.6413)  4 Ru 2.44-2.50
Os (0.5000, 0.2500, 0.3587)  4 Ru 2.44-2.50
Os (0.0000, 0.2500, 0.2283)  2 Ru 2.44
Os (0.0000, 0.7500, 0.7717)  2 Ru 2.44
Ru (0.0000, 0.0000, 0.0000)  2 Ru 2.41
Ru (0.5000, 0.5000, 0.5000)  2 Os 2.50, 2 Ru 2.74
Ru (0.3733, 0.6449, 0.8735)  2 Ru 2.41-2.50, 2 Os 2.44
Ru (0.6267, 0.3551, 0.1265)  2 Ru 2.41-2.50, 2 Os 2.44
Ru (0.6267, 0.8551, 0.8735)  2 Ru 2.41-2.50, 2 Os 2.44
Ru (0.3733, 0.1449, 0.1265)  2 Ru 2.41-2.50, 2 Os 2.44
Ru (0.0000, 0.5000, 0.0000)  2 Ru 2.41
Ru (0.5000, 0.0000, 0.5000)  2 Os 2.50, 2 Ru 2.74

Values from the calculation:
As for the total energy: -8.147 eV/atom. The value obtained for the energy of formation is 11.20 kcal/mol of atoms. As for the space-group type: P2/c.

Record 12
The following is a PBE-GGA calculation of crystalline Pm4OsRu at its relaxed geometry, from Alexandria.

a b c (Å): 6.3672 7.7206 8.0652
angles (deg): 114.29 108.25 99.82
Last column: nearest neighbours and their distance in Å.
Fractional positions:
Pm (0.0035, 0.2421, 0.8705)  2 Ru 2.87-3.17, 2 Os 2.94-2.97
Pm (0.7918, 0.6954, 0.6501)  2 Os 2.96-3.02, 2 Ru 3.00-3.12
Pm (0.3670, 0.6284, 0.8705)  2 Ru 2.87-3.17, 2 Os 2.94-2.97
Pm (0.3583, 0.9547, 0.6501)  2 Os 2.96-3.02, 2 Ru 3.00-3.12
Pm (0.6417, 0.0453, 0.3499)  2 Os 2.96-3.02, 2 Ru 3.00-3.12
Pm (0.6330, 0.3716, 0.1295)  2 Ru 2.87-3.17, 2 Os 2.94-2.97
Pm (0.2082, 0.3046, 0.3499)  2 Os 2.96-3.02, 2 Ru 3.00-3.12
Pm (0.9965, 0.7579, 0.1295)  2 Ru 2.87-3.17, 2 Os 2.94-2.97
Os (0.2508, 0.0008, 0.0017)  8 Pm 2.94-3.02, 2 Os 3.18
Os (0.7492, 0.9992, 0.9983)  8 Pm 2.94-3.02, 2 Os 3.18
Ru (0.3850, 0.6350, 0.2701)  8 Pm 2.87-3.17
Ru (0.6150, 0.3650, 0.7299)  8 Pm 2.87-3.17

Values from the calculation:
As for the total energy: -6.763 eV/atom. The value obtained for the energy of formation is -4.11 kcal/mol of atoms. As for the space-group type: C2/c.

Which value of total energy does entry 1 give?
-8.414 eV/atom